Ba2CN2F2: relaxed, PBE-GGA.

```
Ba2CN2F2
1.0
3.8091 -2.1963 0.0000
3.8091 2.1963 0.0000
-0.1811 0.0000 8.7063
Ba C N F
2 1 2 2
Cartesian
1.2683 0.0000 1.8293
6.1688 0.0000 6.8771
3.7186 0.0000 4.3532
3.6237 0.0000 5.5913
3.8134 0.0000 3.1150
1.0900 0.0000 7.8484
6.3471 0.0000 0.8580
```

Output
E_form (uncorrected) = -14.8 eV/f.u.
Theoretical density = 4.02 g cm⁻³
Total DFT energy (no corrections) = -0.5069 Ry per atom